[1]
Material: Na3Fe2Br8
Method: DFT, PBE
State: optimized geometry

Properties
**Calculated total energy**: -3.59 eV/atom
**ΔE_f (raw)**: -0.96 eV/atom

a b c (Å): 7.319 8.612 8.117
angles (deg): 57.96 72.57 90.00
Last column: magnetic moment on the atom in μB.
Fractional coordinates of all 13 atoms:
Br  0.781  0.637  0.725  0.14
Br  0.735  0.124  0.752  0.10
Br  0.756  0.602  0.259  0.14
Br  0.265  0.876  0.248  0.10
Br  0.244  0.398  0.741  0.14
Br  0.219  0.363  0.275  0.14
Br  0.244  0.861  0.741  0.14
Br  0.756  0.139  0.259  0.14
Na  0.000  0.000  0.000  0.00
Na  0.500  0.270  0.000  0.00
Na  0.500  0.730  0.000  0.00
Fe  0.871  0.315  0.370  3.56
Fe  0.129  0.685  0.630  3.56

***

[2]
Material: GaAg2Cl
Method: DFT, PBE
State: optimized geometry

Properties
**Calculated total energy**: -2.67 eV/atom
**ΔE_f (raw)**: -0.03 eV/atom
**Energy relative to the lowest polymorph listed for this composition**: 0.0 meV/atom

a b c (Å): 7.433 7.433 6.064
angles (deg): 52.20 52.20 90.00
Fractional coordinates of all 8 atoms:
Cl  0.500  0.500  0.000
Cl  0.250  0.750  0.500
Ag  0.375  0.366  0.750
Ag  0.116  0.625  0.250
Ag  0.634  0.125  0.250
Ag  0.875  0.884  0.750
Ga  0.750  0.250  0.500
Ga  0.000  0.000  0.000

***

| no. | V (Å³ per atom) |
| --- | --- |
| 1 | 31.206 |
| 2 | 20.882 |